# Cu2Si2Bi

A relaxed structure of Cu2Si2Bi (GGA-PBE, the Alexandria database).

Calculated values
- size of the total moment (μB per cell) = 0.0
- offset from the most stable computed form (meV/atom) = 183.4
- uncorrected formation energy (eV/atom) = 0.369

Unit cell a=7.4942 b=7.4942 c=3.0570 alpha=90.00 beta=90.00 gamma=90.00
Closest atoms and distances in Å follow each position.
Element x y z (fractional)
Cu 0.1267 0.3733 0.0000  6 Si 2.58-2.83, 1 Cu 2.69
Cu 0.3733 0.8733 0.0000  6 Si 2.58-2.83, 1 Cu 2.69
Cu 0.6267 0.1267 0.0000  6 Si 2.58-2.83, 1 Cu 2.69
Cu 0.8733 0.6267 0.0000  6 Si 2.58-2.83, 1 Cu 2.69
Si 0.1490 0.6490 0.5000  6 Cu 2.58-2.83
Si 0.3510 0.1490 0.5000  6 Cu 2.58-2.83
Si 0.6490 0.8510 0.5000  6 Cu 2.58-2.83
Si 0.8510 0.3510 0.5000  6 Cu 2.58-2.83
Bi 0.0000 0.0000 0.0000  4 Cu 2.95, 2 Bi 3.06, 8 Si 3.24
Bi 0.5000 0.5000 0.0000  4 Cu 2.95, 2 Bi 3.06, 8 Si 3.24

# Ca3P2O8

A relaxed structure of Ca3P2O8 (GGA-PBE, the Alexandria database).

Calculated values
- size of the total moment (μB per cell) = 0.0
- offset from the most stable computed form (meV/atom) = 37.8
- uncorrected formation energy (eV/atom) = -2.855

Unit cell a=6.9807 b=6.9807 c=6.9807 alpha=44.72 beta=44.72 gamma=44.72
Closest atoms and distances in Å follow each position.
Element x y z (fractional)
Ca 0.0000 0.0000 0.0000  6 O 2.46
Ca 0.2038 0.2038 0.2038  1 O 2.25
Ca 0.7962 0.7962 0.7962  1 O 2.25
P 0.4049 0.4049 0.4049  4 O 1.54-1.56
P 0.5951 0.5951 0.5951  4 O 1.54-1.56
O 0.2476 0.7272 0.7272  1 P 1.56
O 0.2728 0.2728 0.7524  1 P 1.56
O 0.2728 0.7524 0.2728  1 P 1.56
O 0.3233 0.3233 0.3233  1 P 1.54
O 0.6767 0.6767 0.6767  1 P 1.54
O 0.7272 0.2476 0.7272  1 P 1.56
O 0.7272 0.7272 0.2476  1 P 1.56
O 0.7524 0.2728 0.2728  1 P 1.56

# PuThSe2

A relaxed structure of PuThSe2 (GGA-PBE, the Alexandria database).

Calculated values
- size of the total moment (μB per cell) = 11.7
- offset from the most stable computed form (meV/atom) = 30.7
- uncorrected formation energy (eV/atom) = -1.521

Unit cell a=4.0832 b=4.0832 c=14.3266 alpha=90.00 beta=90.00 gamma=120.00
Closest atoms and distances in Å follow each position.
Element x y z (fractional)
Pu 0.0000 0.0000 0.0000  6 Se 2.91
Pu 0.0000 0.0000 0.5000  6 Se 2.91
Th 0.3333 0.6667 0.2500  6 Se 3.01
Th 0.6667 0.3333 0.7500  6 Se 3.01
Se 0.3333 0.6667 0.6194  3 Pu 2.91, 3 Th 3.01
Se 0.3333 0.6667 0.8806  3 Pu 2.91, 3 Th 3.01
Se 0.6667 0.3333 0.1194  3 Pu 2.91, 3 Th 3.01
Se 0.6667 0.3333 0.3806  3 Pu 2.91, 3 Th 3.01

# Pm6Sm8Y

A relaxed structure of Pm6Sm8Y (GGA-PBE, the Alexandria database).

Calculated values
- size of the total moment (μB per cell) = 0.0
- ΔE_f (eV/atom) = 0.1168

Unit cell a=8.7981 b=8.7981 c=8.7981 alpha=63.32 beta=63.32 gamma=63.32
Closest atoms and distances in Å follow each position.
Element x y z (fractional)
Pm 0.0383 0.6000 0.7372  4 Sm 3.43-3.82, 1 Y 3.53, 4 Pm 3.59-3.84
Pm 0.2628 0.9617 0.4000  4 Sm 3.43-3.82, 1 Y 3.53, 4 Pm 3.59-3.84
Pm 0.4000 0.2628 0.9617  4 Sm 3.43-3.82, 1 Y 3.53, 4 Pm 3.59-3.84
Pm 0.6000 0.7372 0.0383  4 Sm 3.43-3.82, 1 Y 3.53, 4 Pm 3.59-3.84
Pm 0.7372 0.0383 0.6000  4 Sm 3.43-3.82, 1 Y 3.53, 4 Pm 3.59-3.84
Pm 0.9617 0.4000 0.2628  4 Sm 3.43-3.82, 1 Y 3.53, 4 Pm 3.59-3.84
Sm 0.0774 0.0774 0.0774  4 Sm 3.25-3.48, 3 Pm 3.44
Sm 0.2186 0.6124 0.2486  3 Pm 3.43-3.82, 5 Sm 3.48-3.51, 1 Y 3.57
Sm 0.2486 0.2186 0.6124  3 Pm 3.43-3.82, 5 Sm 3.48-3.51, 1 Y 3.57
Sm 0.3876 0.7514 0.7814  3 Pm 3.43-3.82, 5 Sm 3.48-3.51, 1 Y 3.57
Sm 0.6124 0.2486 0.2186  3 Pm 3.43-3.82, 5 Sm 3.48-3.51, 1 Y 3.57
Sm 0.7514 0.7814 0.3876  3 Pm 3.43-3.82, 5 Sm 3.48-3.51, 1 Y 3.57
Sm 0.7814 0.3876 0.7514  3 Pm 3.43-3.82, 5 Sm 3.48-3.51, 1 Y 3.57
Sm 0.9226 0.9226 0.9226  4 Sm 3.25-3.48, 3 Pm 3.44
Y 0.5000 0.5000 0.5000  6 Pm 3.53, 6 Sm 3.57